(1)
Entry from Alexandria via LeMat-Bulk: a geometry-optimized AgSn2Se structure (PBE-GGA).

The structure in POSCAR format:
```
AgSn2Se
1.0
3.573 0.000 0.000
1.787 3.094 0.000
1.787 1.031 9.719
Se Sn Ag
1 2 1
direct
0.500 0.500 0.500
0.097 0.097 0.710
0.903 0.903 0.290
0.000 0.000 0.000
```

Output
D(E_F): 1.02 states/eV/f.u.
energy relative to the elements, uncorrected: 0.1299 eV/atom
symmetry: R-3m, No. 166
M_tot: 0.0 μB per formula unit

=====

(2)
Entry from Alexandria via LeMat-Bulk: a geometry-optimized Sm2AlCu2Pt5 structure (PBE-GGA).

The structure in POSCAR format:
```
Sm2AlCu2Pt5
1.0
3.826 0.000 0.000
0.000 9.524 0.000
0.000 0.000 9.524
Sm Al Cu Pt
4 2 4 10
direct
0.000 0.675 0.175
0.000 0.325 0.825
0.000 0.175 0.325
0.000 0.825 0.675
0.000 0.000 0.000
0.000 0.500 0.500
0.000 0.124 0.624
0.000 0.876 0.376
0.000 0.624 0.876
0.000 0.376 0.124
0.500 0.202 0.064
0.500 0.798 0.936
0.500 0.064 0.798
0.500 0.702 0.436
0.500 0.936 0.202
0.500 0.298 0.564
0.500 0.564 0.702
0.500 0.436 0.298
0.500 0.500 0.000
0.500 0.000 0.500
```

Output
D(E_F): 3.27 states/eV/f.u.
raw total energy: -6.00 eV per atom
symmetry: P4/mbm, No. 127
M_tot: 0.0 μB per formula unit

=====

(3)
Entry from Alexandria via LeMat-Bulk: a geometry-optimized Co4Ni3 structure (PBE-GGA).

The structure in POSCAR format:
```
Co4Ni3
1.0
4.027 0.000 0.000
0.000 5.723 -3.304
0.000 0.000 6.608
Co Ni
8 6
direct
0.250 0.478 0.095
0.750 0.522 0.905
0.250 0.333 0.667
0.750 0.095 0.617
0.250 0.617 0.522
0.750 0.383 0.478
0.250 0.905 0.383
0.750 0.667 0.333
0.750 0.238 0.047
0.250 0.762 0.953
0.250 0.047 0.809
0.750 0.809 0.762
0.250 0.191 0.238
0.750 0.953 0.191
```

Output
D(E_F): 7.07 states/eV/f.u.
energy above the most stable polymorph in this dataset: 0 meV per atom
symmetry: P6_3/m, No. 176
M_tot: 8.6 μB per formula unit